Entry 1:
KAcAs2 | GGA-PBE | relaxed

The structure belongs to space group P4/mmm (No. 123); the cell edges are 4.231, 4.231 and 7.318 Å and the angles 90.00°, 90.00° and 90.00°. The distinct sites, in fractional coordinates, are K at (0.000, 0.000, 0.000), Ac at (0.000, 0.000, 0.500) and As at (0.500, 0.500, 0.323).

For the total magnetization, the calculation gives 0.000 μB per atom. The calculation puts the mass density at 5.27 g/cm3. The formation energy is -805 meV/atom. The volume comes out at 32.750 Å³/atom. The value obtained for the density of states at the Fermi level is 0.75 states/eV per cell. As for the energy relative to the lowest polymorph listed for this composition: 0 meV per atom.

Entry 2:
Nd2YIn2Hg2 | GGA-PBE | relaxed

The structure belongs to space group R-3m (No. 166, hexagonal axes); the cell edges are 4.9151, 4.9151 and 28.2827 Å and the angles 90.00°, 90.00° and 120.00°. The distinct sites, in fractional coordinates, are Nd at (0.0000, 0.0000, 0.1277), Y at (0.0000, 0.0000, 0.0000), In at (0.0000, 0.0000, 0.2597) and Hg at (0.0000, 0.0000, 0.3881).

For the total magnetization, the calculation gives 0.000 μB per atom. The calculation puts the mass density at 8.49 g/cm3. The formation energy is -310 meV/atom. The volume comes out at 28.177 Å³/atom. The value obtained for the density of states at the Fermi level is 12.54 states/eV per cell.

Entry 3:
Sr2PRh | GGA-PBE | relaxed

The structure belongs to space group F-43m (No. 216); the cell edges are 7.032, 7.032 and 7.032 Å and the angles 90.00°, 90.00° and 90.00°. The distinct sites, in fractional coordinates, are Sr at (0.000, 0.000, 0.000), Sr at (0.250, 0.250, 0.250), P at (0.000, 0.000, 0.500) and Rh at (0.250, 0.250, 0.750).

For the total magnetization, the calculation gives 0.000 μB per atom. The calculation puts the mass density at 5.90 g/cm3. The formation energy is -218 meV/atom. The volume comes out at 21.733 Å³/atom. The value obtained for the density of states at the Fermi level is 1.79 states/eV per cell.

Entry 4:
TaBeCo3 | GGA-PBE | relaxed

The structure belongs to space group Pm-3m (No. 221); the cell edges are 4.429, 4.429 and 4.429 Å and the angles 90.00°, 90.00° and 90.00°. The distinct sites, in fractional coordinates, are Ta at (0.000, 0.000, 0.000), Be at (0.500, 0.500, 0.500) and Co at (0.000, 0.000, 0.500).

For the total magnetization, the calculation gives 0.001 μB per atom. The calculation puts the mass density at 7.01 g/cm3. The formation energy is 1659 meV/atom. The volume comes out at 17.372 Å³/atom. The value obtained for the density of states at the Fermi level is 3.15 states/eV per cell. As for the energy relative to the lowest polymorph listed for this composition: 1719 meV per atom.

Entry 5:
BaZnSeF2 | GGA-PBE | relaxed

The structure belongs to space group I4/mcm (No. 140); the cell edges are 6.553, 6.553 and 9.418 Å and the angles 90.00°, 90.00° and 90.00°. The distinct sites, in fractional coordinates, are Ba at (0.000, 0.500, 0.250), Zn at (0.000, 0.000, 0.000), Se at (0.000, 0.000, 0.250) and F at (0.170, 0.330, 0.000).

For the total magnetization, the calculation gives 0.000 μB per atom. The calculation puts the mass density at 5.25 g/cm3. Its uncorrected formation energy is -2.254 eV/atom. The volume comes out at 20.224 Å³/atom.

Entry 6:
LaOs2Ru | GGA-PBE | relaxed

The structure belongs to space group I4/mmm (No. 139); the cell edges are 4.119, 4.119 and 8.285 Å and the angles 90.00°, 90.00° and 90.00°. The distinct sites, in fractional coordinates, are La at (0.000, 0.000, 0.000), Os at (0.000, 0.500, 0.250) and Ru at (0.000, 0.000, 0.500).

For the total magnetization, the calculation gives 0.000 μB per atom. The calculation puts the mass density at 14.66 g/cm3. The formation energy is 680 meV/atom. The volume comes out at 17.570 Å³/atom. The value obtained for the density of states at the Fermi level is 15.86 states/eV per cell. As for the energy relative to the lowest polymorph listed for this composition: 357 meV per atom.